[1]
Material: Pr2Be3ZnCu12
Method: DFT, GGA-PBE
State: optimized geometry

Output
The density of states at the Fermi level is 5.6 states/eV per cell. The space-group type is R-3m (166). The final energy comes out at -3.66 eV/atom. Its formation enthalpy at 0 K is 0.2981 eV per atom.

Cell lengths 7.3881, 7.3881, 7.3881 Å; angles 61.35, 61.35, 61.35 degrees
Fractional coordinates of all 18 atoms:
Be 0.0000 0.5000 0.0000
Cu 0.6638 0.0960 0.6638
Zn 0.0000 0.0000 0.0000
Cu 0.3362 0.3362 0.9040
Cu 0.6127 0.1214 0.1214
Cu 0.1214 0.1214 0.6127
Cu 0.8786 0.8786 0.3873
Cu 0.8786 0.3873 0.8786
Pr 0.6070 0.6070 0.6070
Be 0.5000 0.0000 0.0000
Cu 0.3873 0.8786 0.8786
Cu 0.0960 0.6638 0.6638
Pr 0.3930 0.3930 0.3930
Cu 0.3362 0.9040 0.3362
Cu 0.6638 0.6638 0.0960
Cu 0.1214 0.6127 0.1214
Be 0.0000 0.0000 0.5000
Cu 0.9040 0.3362 0.3362

=====

[2]
Material: BeCu2Pt
Method: DFT, GGA-PBE
State: optimized geometry

Output
The density of states at the Fermi level is 1.0 states/eV per cell. The space-group type is P4/mmm (123). The final energy comes out at -4.65 eV/atom. Its formation enthalpy at 0 K is -0.1629 eV per atom.

Cell lengths 2.7829, 2.7829, 6.1082 Å; angles 90.00, 90.00, 90.00 degrees
Fractional coordinates of all 4 atoms:
Pt 0.5000 0.5000 0.2500
Cu 0.0000 0.0000 0.9581
Be 0.5000 0.5000 0.7500
Cu 0.0000 0.0000 0.5419

=====

[3]
Material: BeCu2Pt
Method: DFT, GGA-PBE
State: optimized geometry

Output
The density of states at the Fermi level is 2.2 states/eV per cell. The space-group type is I-42d (122). The final energy comes out at -4.50 eV/atom. Its formation enthalpy at 0 K is -0.0097 eV per atom.

Cell lengths 3.3794, 3.3794, 9.3331 Å; angles 79.57, 79.57, 90.00 degrees
Fractional coordinates of all 8 atoms:
Pt 0.7500 0.2500 0.5000
Cu 0.1307 0.6250 0.2500
Cu 0.3750 0.3807 0.7500
Be 0.2500 0.7500 0.5000
Pt 0.0000 0.0000 0.0000
Be 0.5000 0.5000 0.0000
Cu 0.6193 0.1250 0.2500
Cu 0.8750 0.8693 0.7500

=====

[4]
Material: BeCu4Pt
Method: DFT, GGA-PBE
State: optimized geometry

Output
The density of states at the Fermi level is 3.0 states/eV per cell. The space-group type is F-43m (216). The final energy comes out at -4.27 eV/atom. Its formation enthalpy at 0 K is 0.0918 eV per atom.

Cell lengths 4.7396, 4.7396, 4.7396 Å; angles 60.00, 60.00, 60.00 degrees
Fractional coordinates of all 6 atoms:
Cu 0.1242 0.6253 0.6253
Pt 0.2500 0.2500 0.2500
Be 0.0000 0.0000 0.0000
Cu 0.6253 0.6253 0.6253
Cu 0.6253 0.6253 0.1242
Cu 0.6253 0.1242 0.6253

=====

[5]
Material: Be2CuPt
Method: DFT, GGA-PBE
State: optimized geometry

Output
The density of states at the Fermi level is 1.4 states/eV per cell. The space-group type is P4mm (99). The final energy comes out at -4.71 eV/atom. Its energy above the most stable polymorph in this dataset is 161 meV per atom. Its formation enthalpy at 0 K is -0.3131 eV per atom.

Cell lengths 2.8191, 2.8207, 5.5190 Å; angles 90.00, 90.00, 90.00 degrees
Fractional coordinates of all 4 atoms:
Cu 0.0000 0.0000 0.4495
Be 0.0000 0.0000 0.0178
Pt 0.5000 0.5000 0.7952
Be 0.5000 0.5000 0.2376

=====

[6]
Material: Be4Cu2Pt3
Method: DFT, GGA-PBE
State: optimized geometry

Output
The density of states at the Fermi level is 3.4 states/eV per cell. The space-group type is P-3m1 (164). The final energy comes out at -5.05 eV/atom. Its formation enthalpy at 0 K is -0.4661 eV per atom.

Cell lengths 3.9584, 3.9573, 7.6369 Å; angles 90.01, 90.00, 59.99 degrees
Fractional coordinates of all 9 atoms:
Pt 0.0000 0.0000 0.0000
Cu 0.6667 0.6665 0.2077
Pt 0.3333 0.3335 0.3972
Be 0.0001 0.9998 0.6710
Cu 0.3333 0.3335 0.7923
Be 0.9999 0.0002 0.3290
Pt 0.6667 0.6665 0.6028
Be 0.3334 0.3332 0.1008
Be 0.6666 0.6668 0.8992

=====

[7]
Material: Be2CuPt
Method: DFT, GGA-PBE
State: optimized geometry

Output
The density of states at the Fermi level is 1.0 states/eV per cell. The space-group type is C2/m (12). The final energy comes out at -4.64 eV/atom. Its energy above the most stable polymorph in this dataset is 231 meV per atom. Its formation enthalpy at 0 K is -0.2440 eV per atom.

Cell lengths 4.0844, 4.0844, 4.4750 Å; angles 76.89, 76.89, 39.07 degrees
Fractional coordinates of all 4 atoms:
Be 0.5012 0.5012 0.4958
Cu 0.7500 0.7500 0.7500
Pt 0.2500 0.2500 0.2500
Be 0.9988 0.9988 0.0042

=====

[8]
Material: Be2CuPt
Method: DFT, GGA-PBE
State: optimized geometry

Output
The density of states at the Fermi level is 1.1 states/eV per cell. The space-group type is R3m (160). The final energy comes out at -4.56 eV/atom. Its energy above the most stable polymorph in this dataset is 313 meV per atom. Its formation enthalpy at 0 K is -0.1611 eV per atom.

Cell lengths 3.6834, 3.6834, 4.7268 Å; angles 67.07, 67.07, 60.00 degrees
Fractional coordinates of all 4 atoms:
Cu 0.4849 0.4849 0.5452
Be 0.0686 0.0686 0.7942
Be 0.2607 0.2607 0.2180
Pt 0.6858 0.6858 0.9427

=====

[9]
Material: BeCu2Pt
Method: DFT, GGA-PBE
State: optimized geometry

Output
The density of states at the Fermi level is 0.8 states/eV per cell. The space-group type is R-3m (166). The final energy comes out at -4.56 eV/atom. Its formation enthalpy at 0 K is -0.0709 eV per atom.

Cell lengths 8.1957, 8.1957, 8.1957 Å; angles 18.70, 18.70, 18.70 degrees
Fractional coordinates of all 4 atoms:
Be 0.7500 0.7500 0.7500
Cu 0.0091 0.0091 0.0091
Pt 0.2500 0.2500 0.2500
Cu 0.4909 0.4909 0.4909

=====

[10]
Material: Be4Cu3Pt2
Method: DFT, GGA-PBE
State: optimized geometry

Output
The density of states at the Fermi level is 3.0 states/eV per cell. The space-group type is C2/m (12). The final energy comes out at -4.75 eV/atom. Its formation enthalpy at 0 K is -0.3858 eV per atom.

Cell lengths 3.9150, 3.9114, 7.4513 Å; angles 90.08, 90.00, 59.97 degrees
Fractional coordinates of all 9 atoms:
Cu 0.3330 0.3340 0.4228
Pt 0.3335 0.3329 0.7861
Be 0.0004 0.9993 0.6740
Cu 0.6670 0.6660 0.5772
Pt 0.6665 0.6671 0.2139
Be 0.3331 0.3338 0.1052
Be 0.6669 0.6662 0.8948
Be 0.9996 0.0007 0.3260
Cu 0.0000 0.0000 0.0000

=====

[11]
Material: BeCu2Pt
Method: DFT, GGA-PBE
State: optimized geometry

Output
The density of states at the Fermi level is 1.2 states/eV per cell. The space-group type is I-4m2 (119). The final energy comes out at -4.74 eV/atom. Its formation enthalpy at 0 K is -0.2539 eV per atom.

Cell lengths 4.3472, 4.3472, 4.3472 Å; angles 128.99, 128.99, 75.03 degrees
Fractional coordinates of all 4 atoms:
Be 0.7500 0.2500 0.5000
Cu 0.2500 0.7500 0.5000
Pt 0.5000 0.5000 0.0000
Cu 0.0000 0.0000 0.0000

=====

[12]
Material: BeCu2Pt
Method: DFT, GGA-PBE
State: optimized geometry

Output
The density of states at the Fermi level is 1.4 states/eV per cell. The space-group type is Pmmm (47). The final energy comes out at -4.62 eV/atom. Its formation enthalpy at 0 K is -0.1298 eV per atom.

Cell lengths 2.6839, 3.5713, 5.1159 Å; angles 90.00, 90.00, 90.00 degrees
Fractional coordinates of all 4 atoms:
Pt 0.5000 0.5000 0.2500
Be 0.5000 0.5000 0.7500
Cu 0.0000 0.0000 0.5192
Cu 0.0000 0.0000 0.9808

=====

[13]
Material: BeCu2Pt
Method: DFT, GGA-PBE
State: optimized geometry

Output
The density of states at the Fermi level is 1.3 states/eV per cell. The space-group type is Imm2 (44). The final energy comes out at -4.70 eV/atom. Its formation enthalpy at 0 K is -0.2149 eV per atom.

Cell lengths 4.7847, 4.7847, 4.7847 Å; angles 145.57, 127.84, 64.01 degrees
Fractional coordinates of all 4 atoms:
Cu 0.2455 0.7455 0.5000
Be 0.7525 0.2525 0.5000
Pt 0.5292 0.5292 0.0000
Cu 0.9728 0.9728 0.0000

=====

[14]
Material: Be2CuPt
Method: DFT, GGA-PBE
State: optimized geometry

Output
The density of states at the Fermi level is 1.0 states/eV per cell. The space-group type is P2/m (10). The final energy comes out at -4.82 eV/atom. Its energy above the most stable polymorph in this dataset is 53 meV per atom. Its formation enthalpy at 0 K is -0.4215 eV per atom.

Cell lengths 2.7823, 2.8015, 6.2112 Å; angles 63.06, 90.00, 90.00 degrees
Fractional coordinates of all 4 atoms:
Be 0.0000 0.5113 0.4893
Cu 0.5000 0.2500 0.2500
Pt 0.5000 0.7500 0.7500
Be 0.0000 0.9887 0.0107

=====

[15]
Material: Be4CuPt5
Method: DFT, GGA-PBE
State: optimized geometry

Output
The density of states at the Fermi level is 2.6 states/eV per cell. The space-group type is P4/mmm (123). The final energy comes out at -5.60 eV/atom. Its formation enthalpy at 0 K is -0.6748 eV per atom.

Cell lengths 2.8128, 2.8128, 15.2110 Å; angles 90.00, 90.00, 90.00 degrees
Fractional coordinates of all 10 atoms:
Be 0.0000 0.0000 0.2089
Pt 0.5000 0.5000 0.8786
Cu 0.0000 0.0000 0.0000
Be 0.0000 0.0000 0.7911
Pt 0.5000 0.5000 0.1214
Pt 0.5000 0.5000 0.6891
Be 0.0000 0.0000 0.4031
Pt 0.5000 0.5000 0.3109
Be 0.0000 0.0000 0.5969
Pt 0.5000 0.5000 0.5000

=====

[16]
Material: BeCuPt
Method: DFT, GGA-PBE
State: optimized geometry

Output
The density of states at the Fermi level is 0.4 states/eV per cell. The space-group type is P3m1 (156). The final energy comes out at -4.97 eV/atom. Its energy above the most stable polymorph in this dataset is 68 meV per atom. Its formation enthalpy at 0 K is -0.3449 eV per atom.

Cell lengths 3.9037, 3.9037, 2.7321 Å; angles 90.00, 90.00, 120.00 degrees
Fractional coordinates of all 3 atoms:
Pt 0.3333 0.6667 0.6948
Be 0.0000 0.0000 0.1040
Cu 0.6667 0.3333 0.2013

=====

[17]
Material: BeCu2Pt
Method: DFT, GGA-PBE
State: optimized geometry

Output
The density of states at the Fermi level is 1.2 states/eV per cell. The space-group type is Cm (8). The final energy comes out at -4.73 eV/atom. Its formation enthalpy at 0 K is -0.2367 eV per atom.

Cell lengths 4.5027, 4.5027, 4.3657 Å; angles 69.64, 69.64, 35.91 degrees
Fractional coordinates of all 4 atoms:
Cu 0.7398 0.7398 0.7853
Cu 0.9761 0.9761 0.9728
Pt 0.5252 0.5252 0.4338
Be 0.2589 0.2589 0.3081

=====

[18]
Material: BeCuPt
Method: DFT, GGA-PBE
State: optimized geometry

Output
The density of states at the Fermi level is 6.8 states/eV per cell. The space-group type is P6_222 (180). The final energy comes out at -4.80 eV/atom. Its energy above the most stable polymorph in this dataset is 232 meV per atom. Its formation enthalpy at 0 K is -0.1806 eV per atom.

Cell lengths 5.3110, 5.3110, 9.7619 Å; angles 90.00, 90.00, 120.00 degrees
Fractional coordinates of all 18 atoms:
Cu 0.0000 0.0000 0.8333
Be 0.6144 0.2288 0.1667
Cu 0.5000 0.0000 0.6667
Be 0.3856 0.7712 0.1667
Cu 0.0000 0.0000 0.1667
Pt 0.5000 0.5000 0.2952
Pt 0.5000 0.0000 0.3714
Pt 0.5000 0.0000 0.9619
Be 0.6144 0.3856 0.5000
Cu 0.0000 0.5000 0.3333
Pt 0.0000 0.5000 0.6286
Pt 0.0000 0.5000 0.0381
Be 0.7712 0.3856 0.8333
Cu 0.5000 0.5000 0.0000
Pt 0.5000 0.5000 0.7048
Be 0.3856 0.6144 0.5000
Cu 0.0000 0.0000 0.5000
Be 0.2288 0.6144 0.8333

=====

[19]
Material: BeCu2Pt
Method: DFT, GGA-PBE
State: optimized geometry

Output
The density of states at the Fermi level is 1.3 states/eV per cell. The space-group type is P4mm (99). The final energy comes out at -4.79 eV/atom. Its formation enthalpy at 0 K is -0.2977 eV per atom.

Cell lengths 2.7617, 2.7615, 6.2379 Å; angles 90.00, 90.00, 90.00 degrees
Fractional coordinates of all 4 atoms:
Cu 0.5000 0.5000 0.2342
Pt 0.0000 0.0000 0.5371
Cu 0.0000 0.0000 0.9767
Be 0.5000 0.5000 0.7521

=====

[20]
Material: Be6CuPt5
Method: DFT, GGA-PBE
State: optimized geometry

Output
The density of states at the Fermi level is 3.6 states/eV per cell. The space-group type is P2/m (10). The final energy comes out at -5.38 eV/atom. Its formation enthalpy at 0 K is -0.6606 eV per atom.

Cell lengths 4.0251, 5.5845, 6.4386 Å; angles 90.00, 109.82, 90.00 degrees
Fractional coordinates of all 12 atoms:
Pt 0.3347 0.5000 0.6682
Be 0.5000 0.2455 0.0000
Be 0.8345 0.7535 0.6665
Pt 0.6653 0.5000 0.3318
Be 0.8345 0.2465 0.6665
Cu 0.0000 0.0000 0.0000
Be 0.1655 0.2465 0.3335
Be 0.1655 0.7535 0.3335
Be 0.5000 0.7545 0.0000
Pt 0.6591 0.0000 0.3238
Pt 0.0000 0.5000 0.0000
Pt 0.3409 0.0000 0.6762